{"formula": "TaZn2Te", "functional": "PBE-GGA", "state": "optimized geometry", "cell": [[-1.311, -2.791, 3.613], [2.655, -0.197, 3.933], [-1.589, 1.932, 4.038]], "species": ["Ta", "Te", "Zn", "Zn"], "frac_coords": [[0.500, 0.500, 0.500], [0.750, 0.750, 0.750], [0.000, 0.000, 0.000], [0.250, 0.250, 0.250]], "total_energy_ev_per_atom": -3.92, "raw_formation_energy_mev_per_atom": 470, "magnetic_moment_mub_per_cell": 0.00, "spacegroup": "F-43m, No. 216", "vol_a3_per_cell": 76}